Entry 1:
The following is a GGA-PBE calculation of a geometry-optimized PmCo2BC structure, from the Alexandria database.

Cell lengths 5.3547, 5.3547, 6.6076 Å; angles 90.00, 90.00, 140.01 degrees
With the nearest neighbours (Å) after each atom.
Fractional coordinates of all 10 atoms:
1 Pm 0.0542 0.9458 0.7500  4 C 2.53
2 Pm 0.9458 0.0542 0.2500  4 C 2.53
3 Co 0.3282 0.6718 0.5617  1 C 1.78
4 Co 0.3282 0.6718 0.9383  1 C 1.78
5 Co 0.6718 0.3282 0.0617  1 C 1.78
6 Co 0.6718 0.3282 0.4383  1 C 1.78
7 B 0.2284 0.7716 0.2500  6 Co 2.29
8 B 0.7716 0.2284 0.7500  6 Co 2.29
9 C 0.5000 0.5000 0.0000  2 Co 1.78
10 C 0.5000 0.5000 0.5000  2 Co 1.78

Properties
The value obtained for the density of states at the Fermi level is 6.15 states/eV per cell. For the energy of formation from the pure elements, the calculation gives -0.173 eV per atom. As for the magnetization: 0.0 Bohr magnetons per cell. The volume comes out at 12.17 A^3/atom.

Entry 2:
The following is a GGA-PBE calculation of a geometry-optimized Pm2Co2B2C structure, from the Alexandria database.

Cell lengths 5.4317, 5.4317, 6.5146 Å; angles 122.75, 122.75, 38.78 degrees
With the nearest neighbours (Å) after each atom.
Fractional coordinates of all 7 atoms:
1 Pm 0.0623 0.0623 0.3215  2 C 2.55, 1 B 2.84
2 Pm 0.9377 0.9377 0.6785  2 C 2.55, 1 B 2.84
3 Co 0.2994 0.2994 0.9161  1 C 1.80
4 Co 0.7006 0.7006 0.0839  1 C 1.80
5 B 0.3010 0.3010 0.2278  3 Co 2.02
6 B 0.6990 0.6990 0.7722  3 Co 2.02
7 C 0.5000 0.5000 0.0000  2 Co 1.80

Properties
The value obtained for the density of states at the Fermi level is 2.89 states/eV per cell. For the energy of formation from the pure elements, the calculation gives -0.350 eV per atom. As for the magnetization: 0.0 Bohr magnetons per cell. The volume comes out at 14.09 A^3/atom.

Entry 3:
The following is a GGA-PBE calculation of a geometry-optimized PrCo2B2C structure, from the Alexandria database.

Cell lengths 5.6813, 5.6813, 5.6813 Å; angles 142.17, 142.17, 54.57 degrees
With the nearest neighbours (Å) after each atom.
Fractional coordinates of all 6 atoms:
1 Pr 0.0000 0.0000 0.0000  4 C 2.60
2 Co 0.2500 0.7500 0.5000  4 B 2.10
3 Co 0.7500 0.2500 0.5000  4 B 2.10
4 B 0.3502 0.3502 0.0000  1 C 1.51
5 B 0.6498 0.6498 0.0000  1 C 1.51
6 C 0.5000 0.5000 0.0000  2 B 1.51

Properties
The value obtained for the density of states at the Fermi level is 4.99 states/eV per cell. For the energy of formation from the pure elements, the calculation gives -0.340 eV per atom. As for the magnetization: 0.1 Bohr magnetons per cell. The volume comes out at 11.42 A^3/atom.

Among the records above, which one has the lowest energy of formation from the pure elements?
Pm2Co2B2C